Entry 1:
AcNd6Tm3: optimized geometry, PBE-GGA.

Properties
- energy relative to the elements (meV per atom) = 47
- space group = P2_1/m, No. 11

Unit cell a=13.458 b=3.634 c=14.325 alpha=90.00 beta=98.40 gamma=90.00
Fractional coordinates of all 20 atoms:
Ac 0.161 0.250 0.380
Ac 0.839 0.750 0.620
Nd 0.017 0.750 0.189
Nd 0.084 0.250 0.605
Nd 0.224 0.750 0.826
Nd 0.286 0.750 0.192
Nd 0.429 0.250 0.403
Nd 0.451 0.250 0.783
Nd 0.549 0.750 0.217
Nd 0.571 0.750 0.597
Nd 0.714 0.250 0.808
Nd 0.776 0.250 0.174
Nd 0.916 0.750 0.395
Nd 0.983 0.250 0.811
Tm 0.126 0.250 0.020
Tm 0.312 0.750 0.584
Tm 0.391 0.250 0.016
Tm 0.609 0.750 0.984
Tm 0.688 0.250 0.416
Tm 0.874 0.750 0.980


Entry 2:
Y2Er3Sb2: optimized geometry, PBE-GGA.

Properties
- energy relative to the elements, uncorrected (meV/atom) = -643
- space group = C2/m, No. 12

Unit cell a=6.368 b=6.368 c=8.444 alpha=108.01 beta=108.01 gamma=39.02
Fractional coordinates of all 7 atoms:
Y 0.132 0.132 0.284
Y 0.868 0.868 0.716
Er 0.374 0.374 0.055
Er 0.500 0.500 0.500
Er 0.626 0.626 0.945
Sb 0.173 0.173 0.694
Sb 0.827 0.827 0.306


no.,N(E_F) (states/eV per cell),calculated volume (Å³ per atom)
1,30.04,34.653
2,6.85,29.092